Run one
Entry from OQMD via LeMat-Bulk: a relaxed CsPrTeO crystal (PBE).

Computed properties:
Volume: 133 Å³/f.u.

Geometry as POSCAR:
```
CsPrTeO
1.0
7.0212 0.0000 0.0000
-0.0002 7.8420 0.0000
-1.4668 -0.0006 9.6379
Cs O Pr Te
4 4 4 4
direct
0.3330 0.9085 0.1287
0.8330 0.5914 0.1287
0.1670 0.4086 0.8713
0.6670 0.0915 0.8713
0.8874 0.6396 0.4305
0.3874 0.8604 0.4305
0.6125 0.1397 0.5694
0.1125 0.3603 0.5694
0.2892 0.1384 0.4895
0.7891 0.3616 0.4895
0.2109 0.6383 0.5105
0.7109 0.8618 0.5105
0.3788 0.4261 0.2589
0.8788 0.0738 0.2589
0.1212 0.9262 0.7411
0.6212 0.5739 0.7411
```

=====

Run two
Entry from OQMD via LeMat-Bulk: a relaxed CsPrTeO crystal (PBE).

Computed properties:
Volume: 171 Å³/f.u.

Geometry as POSCAR:
```
CsPrTeO
1.0
5.0780 0.0000 0.0000
0.0000 9.1643 0.0000
0.0000 0.0000 7.3700
Cs O Pr Te
2 2 2 2
direct
0.0000 0.2926 0.1142
0.0000 0.7074 0.6142
0.5000 0.0736 0.2283
0.5000 0.9264 0.7283
0.5000 0.8919 0.0298
0.5000 0.1081 0.5298
0.0000 0.7083 0.1187
0.0000 0.2917 0.6187
```

=====

Run three
Entry from OQMD via LeMat-Bulk: a relaxed CsPrTeO crystal (PBE).

Computed properties:
Volume: 116 Å³/f.u.

Geometry as POSCAR:
```
CsPrTeO
1.0
4.5863 0.0000 0.0000
0.0000 4.5863 0.0000
0.0000 0.0000 11.0546
Cs O Pr Te
2 2 2 2
direct
0.7500 0.2500 0.5000
0.2500 0.7500 0.5000
0.7500 0.2500 0.0000
0.2500 0.7500 0.0000
0.2500 0.2500 0.0807
0.7500 0.7500 0.9193
0.7500 0.7500 0.2506
0.2500 0.2500 0.7494
```

=====

Consider the structures shown above. The least stable of them is run three.